First-principles (GGA-PBE) data for an optimized crystal structure of LiPmHgRh, as listed in Alexandria.

The space group is F-43m (No. 216) and the conventional cell measures 6.826, 6.826 and 6.826 Å, with angles of 90.00, 90.00 and 90.00 degrees. The asymmetric unit holds Li at (0.000, 0.000, 0.000), Pm at (0.250, 0.250, 0.750), Hg at (0.250, 0.250, 0.250) and Rh at (0.000, 0.000, 0.500).

For the formation energy, the calculation gives -0.3923 eV/atom. For the total magnetic moment, the calculation gives 0.00 μB per cell.

First-principles (GGA-PBE) data for an optimized crystal structure of IrRhI2N, as listed in Alexandria.

The space group is P4/mmm (No. 123) and the conventional cell measures 5.575, 5.575 and 3.670 Å, with angles of 90.00, 90.00 and 90.00 degrees. The asymmetric unit holds Ir at (0.000, 0.000, 0.000), Rh at (0.500, 0.500, 0.500), I at (0.000, 0.500, 0.000) and N at (0.000, 0.000, 0.500).

The calculation puts the energy above the most stable polymorph in this dataset at 0.00 eV per formula unit. For the total magnetic moment, the calculation gives 1.70 μB per cell.

Q: total magnetic moment of number 2 (IrRhI2N)?
A: 1.70 μB per cell